Entry from Alexandria via LeMat-Bulk: CsRbMg3 after structural relaxation (GGA-PBE).

The structure belongs to space group Pm-3m (No. 221); the cell edges are 7.035, 7.035 and 7.035 Å and the angles 90.00°, 90.00° and 90.00°. The inequivalent atoms are Cs at (0.000, 0.000, 0.000), Rb at (0.500, 0.500, 0.500) and Mg at (0.000, 0.000, 0.500).

The energy relative to the lowest polymorph listed for this composition is 12.0 meV/atom. Its energy of formation from the pure elements is 3.586 eV per formula unit. The density is 1.39 Mg/m³.